1.
HoSc2Zn2: relaxed, PBE.

Energy relative to the elements (meV/atom): -277
Crystal system: monoclinic
ΔE to the lowest computed polymorph (kJ/mol of formula units): 0
Size of the total moment (Bohr magnetons per cell): 0.0
Density of states at the Fermi level (states/eV per cell): 10.2

a = 3.434 Å, b = 4.926 Å, c = 12.735 Å
α = 90.00°, β = 97.75°, γ = 90.00°
Element x y z (fractional)
1 Ho 0.145 0.250 0.290
2 Ho 0.855 0.750 0.710
3 Sc 0.047 0.750 0.093
4 Sc 0.234 0.750 0.468
5 Sc 0.766 0.250 0.532
6 Sc 0.953 0.250 0.907
7 Zn 0.359 0.250 0.719
8 Zn 0.455 0.750 0.909
9 Zn 0.545 0.250 0.091
10 Zn 0.641 0.750 0.281

2.
Th4SbTeAs2: relaxed, PBE.

Energy relative to the elements, uncorrected (eV/f.u.): -9.63
Crystal system: monoclinic
Size of the total moment (Bohr magnetons per cell): 0.0
Density of states at the Fermi level (states/eV per cell): 5.8

a = 7.510 Å, b = 4.336 Å, c = 7.683 Å
α = 90.00°, β = 109.01°, γ = 90.00°
Element x y z (fractional)
1 Th 0.237 0.000 0.220
2 Th 0.256 0.500 0.777
3 Th 0.744 0.500 0.223
4 Th 0.763 0.000 0.780
5 Sb 0.000 0.000 0.500
6 Te 0.500 0.500 0.500
7 As 0.000 0.500 0.000
8 As 0.500 0.000 0.000

3.
BaNaPtO3: relaxed, PBE.

Energy relative to the elements, uncorrected (eV/f.u.): -7.85
Crystal system: orthorhombic
Size of the total moment (Bohr magnetons per cell): 1.4
Density of states at the Fermi level (states/eV per cell): 9.0

a = 7.402 Å, b = 7.402 Å, c = 6.024 Å
α = 90.00°, β = 90.00°, γ = 136.71°
Element x y z (fractional)
1 Ba 0.231 0.769 0.750
2 Ba 0.769 0.231 0.250
3 Na 0.074 0.926 0.250
4 Na 0.926 0.074 0.750
5 Pt 0.499 0.501 0.250
6 Pt 0.501 0.499 0.750
7 O 0.236 0.764 0.250
8 O 0.265 0.265 0.000
9 O 0.265 0.265 0.500
10 O 0.735 0.735 0.000
11 O 0.735 0.735 0.500
12 O 0.764 0.236 0.750

4.
BeFeOs: relaxed, PBE.

Energy relative to the elements (meV/atom): -90
Crystal system: orthorhombic
ΔE to the lowest computed polymorph (kJ/mol of formula units): 5
Size of the total moment (Bohr magnetons per cell): 0.0
Density of states at the Fermi level (states/eV per cell): 8.8

a = 3.795 Å, b = 8.890 Å, c = 3.850 Å
α = 90.00°, β = 90.00°, γ = 90.00°
Element x y z (fractional)
1 Be 0.000 0.248 0.250
2 Be 0.000 0.752 0.750
3 Be 0.500 0.252 0.750
4 Be 0.500 0.748 0.250
5 Fe 0.000 0.093 0.750
6 Fe 0.000 0.907 0.250
7 Fe 0.500 0.407 0.250
8 Fe 0.500 0.593 0.750
9 Os 0.000 0.408 0.750
10 Os 0.000 0.592 0.250
11 Os 0.500 0.092 0.250
12 Os 0.500 0.908 0.750

5.
TlTeHN2: relaxed, PBE.

Crystal system: tetragonal
ΔE to the lowest computed polymorph (kJ/mol of formula units): 0
Size of the total moment (Bohr magnetons per cell): 2.3
Density of states at the Fermi level (states/eV per cell): 2.4

a = 4.510 Å, b = 4.510 Å, c = 3.641 Å
α = 90.00°, β = 90.00°, γ = 90.00°
Element x y z (fractional)
1 Tl 0.000 0.000 0.000
2 Te 0.500 0.500 0.000
3 H 0.500 0.500 0.500
4 N 0.000 0.500 0.500
5 N 0.500 0.000 0.500

6.
Y2BeZnC: relaxed, PBE.

Energy relative to the elements (meV/atom): -249
Crystal system: tetragonal
Size of the total moment (Bohr magnetons per cell): 0.0
Density of states at the Fermi level (states/eV per cell): 3.2

a = 5.067 Å, b = 5.067 Å, c = 3.468 Å
α = 90.00°, β = 90.00°, γ = 90.00°
Element x y z (fractional)
1 Y 0.000 0.500 0.000
2 Y 0.500 0.000 0.000
3 Be 0.000 0.000 0.500
4 Zn 0.500 0.500 0.500
5 C 0.000 0.000 0.000

7.
MnIr6Rh3: relaxed, PBE.

Energy relative to the elements (meV/atom): 79
Crystal system: monoclinic
Size of the total moment (Bohr magnetons per cell): 4.9
Density of states at the Fermi level (states/eV per cell): 24.2

a = 9.933 Å, b = 2.721 Å, c = 10.950 Å
α = 90.00°, β = 100.93°, γ = 90.00°
Element x y z (fractional)
1 Mn 0.040 0.250 0.215
2 Mn 0.960 0.750 0.785
3 Ir 0.122 0.250 0.986
4 Ir 0.194 0.750 0.431
5 Ir 0.215 0.750 0.788
6 Ir 0.261 0.750 0.203
7 Ir 0.343 0.250 0.629
8 Ir 0.498 0.250 0.192
9 Ir 0.502 0.750 0.808
10 Ir 0.657 0.750 0.371
11 Ir 0.739 0.250 0.797
12 Ir 0.785 0.250 0.212
13 Ir 0.806 0.250 0.569
14 Ir 0.878 0.750 0.014
15 Rh 0.069 0.250 0.600
16 Rh 0.375 0.750 0.999
17 Rh 0.417 0.250 0.403
18 Rh 0.583 0.750 0.597
19 Rh 0.625 0.250 0.001
20 Rh 0.931 0.750 0.400

8.
TmZnAu: relaxed, PBE.

Energy relative to the elements (meV/atom): -650
Crystal system: monoclinic
Size of the total moment (Bohr magnetons per cell): 0.0
Density of states at the Fermi level (states/eV per cell): 7.6

a = 10.290 Å, b = 4.535 Å, c = 6.796 Å
α = 90.00°, β = 130.26°, γ = 90.00°
Element x y z (fractional)
1 Tm 0.032 0.000 0.287
2 Tm 0.468 0.500 0.713
3 Tm 0.532 0.500 0.287
4 Tm 0.968 0.000 0.713
5 Zn 0.158 0.500 0.115
6 Zn 0.342 0.000 0.885
7 Zn 0.658 0.000 0.115
8 Zn 0.842 0.500 0.885
9 Au 0.177 0.500 0.705
10 Au 0.323 0.000 0.295
11 Au 0.677 0.000 0.705
12 Au 0.823 0.500 0.295

9.
Tb2Sm4DyHo: relaxed, PBE.

Energy relative to the elements (meV/atom): 16
Crystal system: monoclinic
Size of the total moment (Bohr magnetons per cell): 0.0
Density of states at the Fermi level (states/eV per cell): 10.9

a = 6.212 Å, b = 3.592 Å, c = 11.874 Å
α = 90.00°, β = 100.18°, γ = 90.00°
Element x y z (fractional)
1 Tb 0.000 0.000 0.000
2 Tb 0.000 0.500 0.500
3 Sm 0.249 0.000 0.750
4 Sm 0.251 0.500 0.250
5 Sm 0.749 0.500 0.750
6 Sm 0.751 0.000 0.250
7 Dy 0.500 0.500 0.000
8 Ho 0.500 0.000 0.500

10.
Nd2DyTh3S6: relaxed, PBE.

Energy relative to the elements, uncorrected (eV/f.u.): -22.89
Crystal system: monoclinic
Size of the total moment (Bohr magnetons per cell): 0.0
Density of states at the Fermi level (states/eV per cell): 7.9

a = 9.054 Å, b = 9.054 Å, c = 8.071 Å
α = 104.15°, β = 104.15°, γ = 25.67°
Element x y z (fractional)
1 Nd 0.166 0.166 0.333
2 Nd 0.834 0.834 0.667
3 Dy 0.500 0.500 0.000
4 Th 0.168 0.168 0.834
5 Th 0.500 0.500 0.500
6 Th 0.832 0.832 0.166
7 S 0.001 0.001 0.760
8 S 0.333 0.333 0.417
9 S 0.338 0.338 0.919
10 S 0.662 0.662 0.081
11 S 0.667 0.667 0.583
12 S 0.999 0.999 0.240

11.
Be2CrFe: relaxed, PBE.

Energy relative to the elements (meV/atom): 127
Crystal system: trigonal
ΔE to the lowest computed polymorph (kJ/mol of formula units): 105
Size of the total moment (Bohr magnetons per cell): 7.3
Density of states at the Fermi level (states/eV per cell): 6.2

a = 2.445 Å, b = 2.445 Å, c = 23.384 Å
α = 90.00°, β = 90.00°, γ = 120.00°
Element x y z (fractional)
1 Be 0.000 0.000 0.248
2 Be 0.000 0.000 0.752
3 Be 0.333 0.667 0.419
4 Be 0.333 0.667 0.914
5 Be 0.667 0.333 0.086
6 Be 0.667 0.333 0.581
7 Cr 0.000 0.000 0.000
8 Cr 0.333 0.667 0.667
9 Cr 0.667 0.333 0.333
10 Fe 0.000 0.000 0.500
11 Fe 0.333 0.667 0.167
12 Fe 0.667 0.333 0.833

12.
Li2GdDy: relaxed, PBE.

Energy relative to the elements (meV/atom): 140
Crystal system: tetragonal
ΔE to the lowest computed polymorph (kJ/mol of formula units): 0
Size of the total moment (Bohr magnetons per cell): 7.8
Density of states at the Fermi level (states/eV per cell): 4.7

a = 5.250 Å, b = 5.250 Å, c = 3.723 Å
α = 90.00°, β = 90.00°, γ = 90.00°
Element x y z (fractional)
1 Li 0.000 0.500 0.000
2 Li 0.500 0.000 0.000
3 Gd 0.000 0.000 0.500
4 Dy 0.500 0.500 0.500

13.
SrAlIn4Ag2: relaxed, PBE.

Energy relative to the elements (meV/atom): -91
Crystal system: trigonal
Size of the total moment (Bohr magnetons per cell): 0.0
Density of states at the Fermi level (states/eV per cell): 4.1

a = 10.190 Å, b = 10.190 Å, c = 10.190 Å
α = 27.74°, β = 27.74°, γ = 27.74°
Element x y z (fractional)
1 Sr 0.000 0.000 0.000
2 Al 0.500 0.500 0.500
3 In 0.129 0.129 0.129
4 In 0.401 0.401 0.401
5 In 0.599 0.599 0.599
6 In 0.871 0.871 0.871
7 Ag 0.253 0.253 0.253
8 Ag 0.747 0.747 0.747

14.
CeYSb2: relaxed, PBE.

Energy relative to the elements, uncorrected (eV/f.u.): -3.94
Crystal system: trigonal
ΔE to the lowest computed polymorph (kJ/mol of formula units): 47
Size of the total moment (Bohr magnetons per cell): 2.6
Density of states at the Fermi level (states/eV per cell): 19.1

a = 4.417 Å, b = 4.417 Å, c = 22.580 Å
α = 90.00°, β = 90.00°, γ = 120.00°
Element x y z (fractional)
1 Ce 0.000 0.000 0.000
2 Ce 0.333 0.667 0.667
3 Ce 0.667 0.333 0.333
4 Y 0.000 0.000 0.172
5 Y 0.333 0.667 0.838
6 Y 0.667 0.333 0.505
7 Sb 0.000 0.000 0.420
8 Sb 0.000 0.000 0.585
9 Sb 0.333 0.667 0.086
10 Sb 0.333 0.667 0.252
11 Sb 0.667 0.333 0.753
12 Sb 0.667 0.333 0.919

15.
CeCdSi: relaxed, PBE.

Energy relative to the elements, uncorrected (eV/f.u.): -0.95
Crystal system: trigonal
Size of the total moment (Bohr magnetons per cell): 0.9
Density of states at the Fermi level (states/eV per cell): 7.0

a = 4.437 Å, b = 4.437 Å, c = 4.159 Å
α = 90.00°, β = 90.00°, γ = 120.00°
Element x y z (fractional)
1 Ce 0.000 0.000 0.000
2 Cd 0.667 0.333 0.499
3 Si 0.333 0.667 0.502

16.
ReNi: relaxed, PBE.

Energy relative to the elements (meV/atom): 65
Crystal system: tetragonal
Size of the total moment (Bohr magnetons per cell): 0.0
Density of states at the Fermi level (states/eV per cell): 2.3

a = 2.600 Å, b = 2.600 Å, c = 3.829 Å
α = 90.00°, β = 90.00°, γ = 90.00°
Element x y z (fractional)
1 Re 0.000 0.000 0.000
2 Ni 0.500 0.500 0.500

17.
TbGaNi: relaxed, PBE.

Energy relative to the elements (meV/atom): -378
Crystal system: orthorhombic
Size of the total moment (Bohr magnetons per cell): 0.0
Density of states at the Fermi level (states/eV per cell): 6.7

a = 3.691 Å, b = 13.549 Å, c = 5.022 Å
α = 90.00°, β = 90.00°, γ = 90.00°
Element x y z (fractional)
1 Tb 0.000 0.127 0.250
2 Tb 0.000 0.873 0.750
3 Tb 0.500 0.373 0.750
4 Tb 0.500 0.627 0.250
5 Ga 0.000 0.349 0.250
6 Ga 0.000 0.651 0.750
7 Ga 0.500 0.151 0.750
8 Ga 0.500 0.849 0.250
9 Ni 0.000 0.500 0.000
10 Ni 0.000 0.500 0.500
11 Ni 0.500 0.000 0.000
12 Ni 0.500 0.000 0.500

18.
CaSmPu2Te4: relaxed, PBE.

Energy relative to the elements, uncorrected (eV/f.u.): -10.32
Crystal system: monoclinic
Size of the total moment (Bohr magnetons per cell): 11.9
Density of states at the Fermi level (states/eV per cell): 22.4

a = 7.726 Å, b = 4.447 Å, c = 7.729 Å
α = 90.00°, β = 109.36°, γ = 90.00°
Element x y z (fractional)
1 Ca 0.000 0.000 0.000
2 Sm 0.000 0.500 0.500
3 Pu 0.500 0.000 0.500
4 Pu 0.500 0.500 0.000
5 Te 0.250 0.500 0.250
6 Te 0.251 0.000 0.751
7 Te 0.749 0.000 0.249
8 Te 0.750 0.500 0.750

19.
Pr2Dy15Sc2: relaxed, PBE.

Energy relative to the elements (meV/atom): 274
Crystal system: trigonal
Size of the total moment (Bohr magnetons per cell): 2.6
Density of states at the Fermi level (states/eV per cell): 35.2

a = 8.662 Å, b = 8.662 Å, c = 8.662 Å
α = 80.43°, β = 80.43°, γ = 80.43°
Element x y z (fractional)
1 Pr 0.176 0.176 0.176
2 Pr 0.824 0.824 0.824
3 Dy 0.000 0.500 0.500
4 Dy 0.136 0.136 0.646
5 Dy 0.136 0.646 0.136
6 Dy 0.207 0.500 0.793
7 Dy 0.207 0.793 0.500
8 Dy 0.354 0.864 0.864
9 Dy 0.500 0.000 0.500
10 Dy 0.500 0.207 0.793
11 Dy 0.500 0.500 0.000
12 Dy 0.500 0.793 0.207
13 Dy 0.646 0.136 0.136
14 Dy 0.793 0.207 0.500
15 Dy 0.793 0.500 0.207
16 Dy 0.864 0.354 0.864
17 Dy 0.864 0.864 0.354
18 Sc 0.409 0.409 0.409
19 Sc 0.591 0.591 0.591

20.
Cs2KTcI6: relaxed, PBE.

Energy relative to the elements, uncorrected (eV/f.u.): -8.78
Crystal system: orthorhombic
Size of the total moment (Bohr magnetons per cell): 4.0
Density of states at the Fermi level (states/eV per cell): 14.5

a = 8.683 Å, b = 12.281 Å, c = 8.685 Å
α = 90.00°, β = 90.00°, γ = 90.00°
Element x y z (fractional)
1 Cs 0.250 0.000 0.248
2 Cs 0.250 0.500 0.248
3 Cs 0.750 0.000 0.752
4 Cs 0.750 0.500 0.752
5 K 0.250 0.250 0.745
6 K 0.750 0.750 0.255
7 Tc 0.250 0.750 0.754
8 Tc 0.750 0.250 0.246
9 I 0.025 0.750 0.530
10 I 0.025 0.750 0.979
11 I 0.250 0.525 0.754
12 I 0.250 0.975 0.754
13 I 0.475 0.750 0.530
14 I 0.475 0.750 0.979
15 I 0.525 0.250 0.021
16 I 0.525 0.250 0.470
17 I 0.750 0.025 0.246
18 I 0.750 0.475 0.246
19 I 0.975 0.250 0.021
20 I 0.975 0.250 0.470